Entry 1:
Compound: ScCuC3
Source: Alexandria via LeMat-Bulk
Functional: PBE-GGA
Structure: relaxed

As for the formation energy: 2.637 eV/atom. The polymorph energy (0 for the lowest one) comes out at 806.4 meV per atom.

The structure belongs to space group Pm-3m (No. 221); the cell edges are 4.198, 4.198 and 4.198 Å and the angles 90.00°, 90.00° and 90.00°. The distinct sites, in fractional coordinates, are Sc at (0.000, 0.000, 0.000), Cu at (0.500, 0.500, 0.500) and C at (0.000, 0.000, 0.500).

Entry 2:
Compound: MnNi4Mo
Source: Alexandria via LeMat-Bulk
Functional: PBE-GGA
Structure: relaxed

As for the formation energy: -0.010 eV/atom.

The structure belongs to space group P6/mmm (No. 191); the cell edges are 4.0541, 4.0541 and 4.9417 Å and the angles 90.00°, 90.00° and 120.00°. The distinct sites, in fractional coordinates, are Mn at (0.0000, 0.0000, 0.0000), Ni at (0.3333, 0.6667, 0.2437) and Mo at (0.0000, 0.0000, 0.5000).

Entry 3:
Compound: Li2Zn2TcO6
Source: Alexandria via LeMat-Bulk
Functional: PBE-GGA
Structure: relaxed

The formation energy without anion corrections comes out at -1445 meV per atom.

The structure belongs to space group C2/m (No. 12); the cell edges are 5.437, 8.887 and 5.263 Å and the angles 90.00°, 112.12° and 90.00°. The distinct sites, in fractional coordinates, are Li at (0.000, 0.177, 0.000), Zn at (0.000, 0.339, 0.500), Tc at (0.000, 0.000, 0.500), O at (0.222, 0.000, 0.282) and O at (0.224, 0.159, 0.727).

Entry 4:
Compound: CaP2Cl
Source: Alexandria via LeMat-Bulk
Functional: PBE-GGA
Structure: relaxed

The polymorph energy (0 for the lowest one) comes out at 0.0 meV per atom. The formation energy without anion corrections comes out at -978 meV per atom.

The structure belongs to space group Pm (No. 6); the cell edges are 3.785, 3.473 and 7.545 Å and the angles 90.00°, 98.72° and 90.00°. The distinct sites, in fractional coordinates, are Ca at (0.000, 0.000, 0.000), P at (0.613, 0.000, 0.326), P at (0.977, 0.500, 0.311) and Cl at (0.450, 0.500, 0.842).

Entry 5:
Compound: ZnNiP2
Source: Alexandria via LeMat-Bulk
Functional: PBE-GGA
Structure: relaxed

As for the formation energy: 0.190 eV/atom.

The structure belongs to space group Cmmm (No. 65); the cell edges are 4.930, 6.748 and 3.285 Å and the angles 90.00°, 90.00° and 90.00°. The distinct sites, in fractional coordinates, are Zn at (0.000, 0.000, 0.000), Ni at (0.000, 0.500, 0.000) and P at (0.250, 0.250, 0.500).

Entry 6:
Compound: PrErN
Source: Alexandria via LeMat-Bulk
Functional: PBE-GGA
Structure: relaxed

The polymorph energy (0 for the lowest one) comes out at 687.6 meV per atom. The formation energy without anion corrections comes out at -253 meV per atom.

The structure belongs to space group F-43m (No. 216); the cell edges are 6.145, 6.145 and 6.145 Å and the angles 90.00°, 90.00° and 90.00°. The distinct sites, in fractional coordinates, are Pr at (0.000, 0.000, 0.000), Er at (0.000, 0.000, 0.500) and N at (0.250, 0.250, 0.750).

Entry 7:
Compound: Eu3Hg5S12
Source: Alexandria via LeMat-Bulk
Functional: PBE-GGA
Structure: relaxed

The formation energy without anion corrections comes out at -425 meV per atom.

The structure belongs to space group Ia-3d (No. 230); the cell edges are 15.902, 15.902 and 15.902 Å and the angles 90.00°, 90.00° and 90.00°. The distinct sites, in fractional coordinates, are Eu at (0.000, 0.250, 0.125), Hg at (0.000, 0.000, 0.000), Hg at (0.000, 0.250, 0.375) and S at (0.017, 0.067, 0.653).

Entry 8:
Compound: Ca4Ac15Mg
Source: Alexandria via LeMat-Bulk
Functional: PBE-GGA
Structure: relaxed

As for the formation energy: 0.028 eV/atom.

The structure belongs to space group P4/mmm (No. 123); the cell edges are 5.543, 5.543 and 28.026 Å and the angles 90.00°, 90.00° and 90.00°. The distinct sites, in fractional coordinates, are Ca at (0.000, 0.000, 0.101), Ca at (0.000, 0.000, 0.303), Ac at (0.000, 0.500, 0.000), Ac at (0.000, 0.500, 0.202), Ac at (0.000, 0.500, 0.405), Ac at (0.500, 0.500, 0.101), Ac at (0.500, 0.500, 0.303), Ac at (0.500, 0.500, 0.500) and Mg at (0.000, 0.000, 0.500).

Entry 9:
Compound: CaSmCuGe
Source: Alexandria via LeMat-Bulk
Functional: PBE-GGA
Structure: relaxed

As for the formation energy: -0.452 eV/atom.

The structure belongs to space group F-43m (No. 216); the cell edges are 7.176, 7.176 and 7.176 Å and the angles 90.00°, 90.00° and 90.00°. The distinct sites, in fractional coordinates, are Ca at (0.000, 0.000, 0.000), Sm at (0.000, 0.000, 0.500), Cu at (0.250, 0.250, 0.750) and Ge at (0.250, 0.250, 0.250).

Entry 10:
Compound: Zr3Zn
Source: Alexandria via LeMat-Bulk
Functional: PBE-GGA
Structure: relaxed

As for the formation energy: -0.017 eV/atom.

The structure belongs to space group Pnma (No. 62); the cell edges are 7.271, 8.633 and 5.483 Å and the angles 90.00°, 90.00° and 90.00°. The distinct sites, in fractional coordinates, are Zr at (0.027, 0.250, 0.108), Zr at (0.184, 0.034, 0.649) and Zn at (0.107, 0.750, 0.407).

Entry 11:
Compound: Cu2SbPt
Source: Alexandria via LeMat-Bulk
Functional: PBE-GGA
Structure: relaxed

The formation energy without anion corrections comes out at 145 meV per atom.

The structure belongs to space group I-42d (No. 122); the cell edges are 7.233, 7.233 and 5.259 Å and the angles 90.00°, 90.00° and 90.00°. The distinct sites, in fractional coordinates, are Cu at (0.242, 0.750, 0.125), Sb at (0.000, 0.000, 0.500) and Pt at (0.000, 0.000, 0.000).

Entry 12:
Compound: LiHoCdF6
Source: Alexandria via LeMat-Bulk
Functional: PBE-GGA
Structure: relaxed

The formation energy without anion corrections comes out at -3193 meV per atom.

The structure belongs to space group P4_2nm (No. 102); the cell edges are 5.066, 5.066 and 10.204 Å and the angles 90.00°, 90.00° and 90.00°. The distinct sites, in fractional coordinates, are Li at (0.000, 0.000, 0.000), Ho at (0.000, 0.000, 0.338), Cd at (0.000, 0.000, 0.670), F at (0.188, 0.188, 0.169), F at (0.196, 0.196, 0.844) and F at (0.204, 0.204, 0.497).